Computed, not measured: BeHCl2 after structural relaxation at the GGA-PBE level of DFT.

```
BeHCl2
1.0
0.000 3.025 3.025
3.025 0.000 3.025
3.025 3.025 0.000
Be H Cl
1 1 2
direct
0.500 0.500 0.500 Be
0.000 0.000 0.000 H
0.250 0.250 0.250 Cl
0.750 0.750 0.750 Cl
```

Results
The value obtained for the density of states at the Fermi level is 0.0 states/eV per cell. For the uncorrected energy, the calculation gives -2.312 eV per atom.